1.
# SbMoP2

A relaxed SbMoP2 crystal (PBE, the Alexandria database).

Properties
Energy relative to the elements, uncorrected = 0.0196 eV/atom

Unit cell a=3.1410 b=3.1410 c=7.6820 alpha=90.00 beta=90.00 gamma=90.00
With the nearest neighbours (Å) after each atom.
Fractional coordinates of all 4 atoms:
P  0.5000  0.5000  0.1439  1 Mo 2.48, 4 P 2.57
Mo  0.5000  0.5000  0.8216  5 P 2.48-2.51
P  0.0000  0.0000  0.9746  4 Mo 2.51, 4 P 2.57
Sb  0.0000  0.0000  0.5599  4 Mo 3.00, 4 Sb 3.14, 1 P 3.19

2.
# LaZrRe2W

A relaxed LaZrRe2W crystal (PBE, the Alexandria database).

Properties
Energy relative to the elements = 1.04 eV per atom

Unit cell a=4.9035 b=4.9648 c=4.9035 alpha=90.00 beta=90.00 gamma=90.00
With the nearest neighbours (Å) after each atom.
Fractional coordinates of all 5 atoms:
Re  0.5000  0.0000  0.0000  2 W 2.45
La  0.5000  0.5000  0.5000  4 Zr 3.47, 8 Re 3.49
Re  0.0000  0.0000  0.5000  2 W 2.45
W  0.0000  0.0000  0.0000  4 Re 2.45, 2 Zr 2.48
Zr  0.0000  0.5000  0.0000  2 W 2.48